Entry 1:
## Ac2SmH8 (PBE-GGA)

Data for an optimized crystal structure of Ac2SmH8.

Lattice parameters (Å, degrees): 4.0549 5.5200 12.1290 90.00 90.00 90.00
Space group Immm (No. 71)
Unique sites:
Ac 0.0000 0.0000 0.1688 x4
Sm 0.0000 0.0000 0.5000 x2
H 0.0000 0.2478 0.3484 x8
H 0.0000 0.2631 0.0000 x4
H 0.0000 0.5000 0.1758 x4

## Properties
V: 12.34 Å³ per atom
total magnetic moment: 0.000 μB/f.u.
DFT total energy: -91.93 eV per cell

---

Entry 2:
## AcSmH (PBE-GGA)

Data for an optimized crystal structure of AcSmH.

Lattice parameters (Å, degrees): 6.3005 4.0057 6.7883 90.00 91.65 90.00
Space group P2_1/m (No. 11)
Unique sites:
Ac 0.2452 0.2500 0.4097 x2
Sm 0.2467 0.7500 0.9105 x2
H 0.1543 0.7500 0.5907 x2

## Properties
V: 28.54 Å³ per atom
total magnetic moment: 0.000 μB/f.u.
DFT total energy: -25.42 eV per cell

---

Entry 3:
## Ac2Sm2Sn2H (PBE-GGA)

Data for an optimized crystal structure of Ac2Sm2Sn2H.

Lattice parameters (Å, degrees): 4.8252 4.8252 18.0424 90.00 90.00 90.00
Space group I4/mmm (No. 139)
Unique sites:
Ac 0.0000 0.0000 0.1792 x4
Sm 0.0000 0.5000 0.0000 x4
Sn 0.0000 0.0000 0.3734 x4
H 0.0000 0.0000 0.0000 x2

## Properties
V: 30.01 Å³ per atom
total magnetic moment: 1.876 μB/f.u.
DFT total energy: -66.79 eV per cell

---

Entry 4:
## AcSnH2 (PBE-GGA)

Data for an optimized crystal structure of AcSnH2.

Lattice parameters (Å, degrees): 4.0406 4.0406 17.5106 90.00 90.00 120.00
Space group R-3m (No. 166, hexagonal axes)
Unique sites:
Ac 0.0000 0.0000 0.0000 x3
Sn 0.0000 0.0000 0.5000 x3
H 0.0000 0.0000 0.2989 x6

## Properties
V: 20.63 Å³ per atom
total magnetic moment: 0.000 μB/f.u.
DFT total energy: -47.52 eV per cell

---

Entry 5:
## AcSn2H (PBE-GGA)

Data for an optimized crystal structure of AcSn2H.

Lattice parameters (Å, degrees): 4.6408 4.6408 17.2908 90.00 90.00 120.00
Space group R-3m (No. 166, hexagonal axes)
Unique sites:
Ac 0.0000 0.0000 0.0000 x3
Sn 0.0000 0.0000 0.2032 x6
H 0.0000 0.0000 0.5000 x3

## Properties
V: 26.88 Å³ per atom
total magnetic moment: 0.000 μB/f.u.
DFT total energy: -46.14 eV per cell

---

Entry 6:
## Ac12Sn3H5 (PBE-GGA)

Data for an optimized crystal structure of Ac12Sn3H5.

Lattice parameters (Å, degrees): 17.3309 17.3309 17.3309 90.00 90.00 90.00
Space group Ia-3d (No. 230)
Unique sites:
Ac 0.0389 0.0579 0.6522 x96
Sn 0.0000 0.2500 0.1250 x24
H 0.0000 0.0000 0.0000 x16
H 0.0000 0.2500 0.3750 x24

## Properties
V: 32.53 Å³ per atom
total magnetic moment: 0.000 μB/f.u.
DFT total energy: -671.68 eV per cell

---

Entry 7:
## AcSn3H (PBE-GGA)

Data for an optimized crystal structure of AcSn3H.

Lattice parameters (Å, degrees): 4.9500 4.9500 4.9500 90.00 90.00 90.00
Space group Pm-3m (No. 221)
Unique sites:
Ac 0.0000 0.0000 0.0000 x1
Sn 0.0000 0.5000 0.5000 x3
H 0.5000 0.5000 0.5000 x1

## Properties
V: 24.26 Å³ per atom
total magnetic moment: 0.000 μB/f.u.
DFT total energy: -20.68 eV per cell

---

Entry 8:
## Ac3Sn2H2 (PBE-GGA)

Data for an optimized crystal structure of Ac3Sn2H2.

Lattice parameters (Å, degrees): 7.1066 8.7099 7.3412 90.00 119.41 90.00
Space group P2_1/c (No. 14)
Unique sites:
Ac 0.0000 0.0000 0.0000 x2
Ac 0.3449 0.0865 0.6990 x4
Sn 0.2353 0.7311 0.8862 x4
H 0.3505 0.1221 0.0692 x4

## Properties
V: 28.27 Å³ per atom
total magnetic moment: 0.000 μB/f.u.
DFT total energy: -61.80 eV per cell